1.
Density functional theory data (PBE with a Hubbard U) for a geometry-optimized Li32Mn3Cr13O48 structure.

Cell lengths 5.032, 8.725, 19.478 Å; angles 82.25, 85.17, 89.23 degrees
Sites, in units of the cell vectors:
Li 0.000 0.000 0.000
Li 0.001 0.673 0.002
Li 0.010 0.005 0.499
Li 0.119 0.796 0.125
Li 0.121 0.794 0.625
Li 0.233 0.595 0.250
Li 0.237 0.596 0.750
Li 0.249 0.919 0.751
Li 0.250 0.249 0.251
Li 0.251 0.921 0.252
Li 0.257 0.253 0.750
Li 0.368 0.049 0.375
Li 0.376 0.047 0.876
Li 0.481 0.837 0.503
Li 0.492 0.175 0.500
Li 0.492 0.175 0.999
Li 0.493 0.847 0.000
Li 0.509 0.505 0.501
Li 0.510 0.501 0.001
Li 0.623 0.300 0.126
Li 0.626 0.299 0.626
Li 0.736 0.093 0.752
Li 0.742 0.422 0.249
Li 0.743 0.096 0.251
Li 0.751 0.421 0.750
Li 0.753 0.753 0.750
Li 0.760 0.752 0.250
Li 0.869 0.548 0.376
Li 0.874 0.548 0.875
Li 0.983 0.344 0.001
Li 0.986 0.343 0.500
Li 0.997 0.674 0.502
Mn 0.623 0.633 0.625
Mn 0.871 0.214 0.376
Mn 0.872 0.881 0.875
Cr 0.116 0.124 0.627
Cr 0.118 0.125 0.127
Cr 0.127 0.461 0.126
Cr 0.130 0.462 0.625
Cr 0.361 0.382 0.376
Cr 0.364 0.384 0.875
Cr 0.379 0.712 0.376
Cr 0.383 0.714 0.875
Cr 0.616 0.635 0.125
Cr 0.621 0.969 0.625
Cr 0.625 0.971 0.124
Cr 0.867 0.885 0.375
Cr 0.875 0.211 0.876
O 0.030 0.066 0.820
O 0.037 0.069 0.319
O 0.069 0.386 0.320
O 0.069 0.745 0.319
O 0.071 0.744 0.819
O 0.077 0.388 0.819
O 0.164 0.208 0.932
O 0.169 0.205 0.432
O 0.171 0.850 0.432
O 0.174 0.849 0.932
O 0.214 0.525 0.432
O 0.214 0.527 0.932
O 0.275 0.315 0.570
O 0.277 0.316 0.070
O 0.312 0.000 0.067
O 0.312 0.000 0.568
O 0.323 0.640 0.569
O 0.328 0.638 0.069
O 0.415 0.458 0.182
O 0.423 0.461 0.681
O 0.429 0.096 0.684
O 0.430 0.095 0.184
O 0.461 0.781 0.681
O 0.465 0.780 0.180
O 0.527 0.570 0.319
O 0.530 0.572 0.818
O 0.570 0.246 0.319
O 0.572 0.247 0.819
O 0.574 0.890 0.819
O 0.579 0.888 0.319
O 0.666 0.708 0.432
O 0.673 0.351 0.432
O 0.673 0.352 0.932
O 0.673 0.710 0.931
O 0.707 0.026 0.932
O 0.713 0.030 0.431
O 0.782 0.815 0.570
O 0.785 0.820 0.069
O 0.807 0.132 0.570
O 0.808 0.135 0.069
O 0.819 0.495 0.569
O 0.820 0.495 0.069
O 0.922 0.601 0.182
O 0.923 0.600 0.682
O 0.933 0.960 0.682
O 0.935 0.960 0.182
O 0.958 0.276 0.182
O 0.962 0.277 0.682

Its space group is P1, No. 1. For the total energy, the calculation gives -6.2418 eV per atom. For the energy above the most stable polymorph in this dataset, the calculation gives 0.006 eV per atom.

2.
Density functional theory data (PBE with a Hubbard U) for a geometry-optimized Li5Mn2CrO8 structure.

Cell lengths 5.830, 5.830, 5.893 Å; angles 120.17, 120.17, 59.77 degrees
Sites, in units of the cell vectors:
Li 0.000 0.000 0.000
Li 0.000 0.000 0.500
Li 0.000 0.500 0.000
Li 0.500 0.000 0.000
Li 0.500 0.500 0.000
Mn 0.000 0.500 0.500
Mn 0.500 0.000 0.500
Cr 0.500 0.500 0.500
O 0.242 0.726 0.725
O 0.250 0.250 0.723
O 0.254 0.254 0.276
O 0.274 0.758 0.275
O 0.726 0.242 0.725
O 0.746 0.746 0.724
O 0.750 0.750 0.277
O 0.758 0.274 0.275

Its space group is C2/m, No. 12. For the total energy, the calculation gives -6.3171 eV per atom.

3.
Density functional theory data (PBE with a Hubbard U) for a geometry-optimized Li5MnCr3O8 structure.

Cell lengths 6.038, 6.038, 6.038 Å; angles 59.47, 59.47, 59.47 degrees
Sites, in units of the cell vectors:
Li 0.000 0.000 0.500
Li 0.000 0.500 0.000
Li 0.067 0.067 0.067
Li 0.500 0.000 0.000
Li 0.933 0.933 0.933
Mn 0.500 0.500 0.500
Cr 0.000 0.500 0.500
Cr 0.500 0.000 0.500
Cr 0.500 0.500 0.000
O 0.254 0.254 0.727
O 0.254 0.727 0.254
O 0.257 0.257 0.257
O 0.273 0.746 0.746
O 0.727 0.254 0.254
O 0.743 0.743 0.743
O 0.746 0.273 0.746
O 0.746 0.746 0.273

Its space group is R-3m, No. 166. For the total energy, the calculation gives -6.4156 eV per atom. For the energy above the most stable polymorph in this dataset, the calculation gives 0.164 eV per atom.

4.
Density functional theory data (PBE with a Hubbard U) for a geometry-optimized Li4Mn2Cr3Sb3O16 structure.

Cell lengths 6.118, 6.118, 10.071 Å; angles 90.14, 90.14, 60.30 degrees
Sites, in units of the cell vectors:
Li 0.000 0.000 0.000
Li 0.004 0.004 0.515
Li 0.337 0.337 0.413
Li 0.675 0.675 0.865
Mn 0.357 0.357 0.988
Mn 0.685 0.685 0.525
Cr 0.180 0.676 0.724
Cr 0.676 0.180 0.724
Cr 0.841 0.841 0.227
Sb 0.181 0.181 0.725
Sb 0.346 0.842 0.226
Sb 0.842 0.346 0.226
O 0.010 0.010 0.330
O 0.013 0.013 0.822
O 0.042 0.493 0.839
O 0.164 0.164 0.116
O 0.168 0.704 0.119
O 0.320 0.864 0.613
O 0.343 0.343 0.615
O 0.493 0.042 0.839
O 0.495 0.495 0.835
O 0.520 0.520 0.336
O 0.520 0.978 0.335
O 0.676 0.676 0.117
O 0.704 0.168 0.119
O 0.858 0.858 0.616
O 0.864 0.320 0.613
O 0.978 0.520 0.335

Its space group is Cm, No. 8. For the density of states at the Fermi level, the calculation gives 0.06 states/eV per atom. For the total energy, the calculation gives -6.6619 eV per atom.

5.
Density functional theory data (PBE with a Hubbard U) for a geometry-optimized Li4Ti3Mn3Cr2O16 structure.

Cell lengths 5.894, 5.894, 9.591 Å; angles 90.34, 90.34, 61.06 degrees
Sites, in units of the cell vectors:
Li 0.000 0.000 0.000
Li 0.015 0.015 0.499
Li 0.342 0.342 0.898
Li 0.684 0.684 0.395
Ti 0.177 0.177 0.214
Ti 0.350 0.845 0.718
Ti 0.845 0.350 0.718
Mn 0.182 0.669 0.218
Mn 0.669 0.182 0.218
Mn 0.844 0.844 0.715
Cr 0.352 0.352 0.486
Cr 0.675 0.675 0.990
O 0.009 0.009 0.313
O 0.009 0.009 0.813
O 0.056 0.489 0.340
O 0.180 0.180 0.611
O 0.194 0.687 0.601
O 0.331 0.848 0.106
O 0.341 0.341 0.108
O 0.489 0.056 0.340
O 0.496 0.496 0.344
O 0.521 0.968 0.849
O 0.528 0.528 0.838
O 0.682 0.682 0.610
O 0.687 0.194 0.601
O 0.841 0.841 0.107
O 0.848 0.331 0.106
O 0.968 0.521 0.849

Its space group is Cm, No. 8. For the density of states at the Fermi level, the calculation gives 0.07 states/eV per atom. For the total energy, the calculation gives -7.4946 eV per atom.

6.
Density functional theory data (PBE with a Hubbard U) for a geometry-optimized Li4Ti2Mn3Cr3O16 structure.

Cell lengths 5.876, 5.899, 9.482 Å; angles 89.11, 89.88, 60.64 degrees
Sites, in units of the cell vectors:
Li 0.000 0.000 0.000
Li 0.002 0.990 0.500
Li 0.338 0.339 0.401
Li 0.662 0.684 0.903
Ti 0.333 0.339 0.001
Ti 0.667 0.661 0.499
Mn 0.168 0.659 0.722
Mn 0.661 0.175 0.719
Mn 0.832 0.830 0.222
Cr 0.172 0.169 0.720
Cr 0.340 0.834 0.220
Cr 0.830 0.343 0.219
O 0.036 0.486 0.842
O 0.156 0.672 0.105
O 0.164 0.174 0.097
O 0.335 0.346 0.615
O 0.336 0.830 0.604
O 0.451 0.517 0.855
O 0.481 0.052 0.848
O 0.524 0.522 0.348
O 0.530 0.961 0.345
O 0.665 0.167 0.101
O 0.670 0.678 0.113
O 0.835 0.327 0.598
O 0.854 0.802 0.597
O 0.964 0.526 0.342
O 0.997 0.991 0.812
O 0.997 0.997 0.314

Its space group is P1, No. 1. For the total energy, the calculation gives -7.3687 eV per atom.

7.
Density functional theory data (PBE with a Hubbard U) for a geometry-optimized Li4Ti3Mn2Cr3O16 structure.

Cell lengths 5.904, 5.904, 9.584 Å; angles 91.39, 91.39, 60.52 degrees
Sites, in units of the cell vectors:
Li 0.000 0.000 0.000
Li 0.012 0.012 0.501
Li 0.332 0.332 0.097
Li 0.659 0.659 0.595
Ti 0.157 0.653 0.781
Ti 0.653 0.157 0.781
Ti 0.839 0.839 0.288
Mn 0.331 0.331 0.505
Mn 0.662 0.662 0.014
Cr 0.164 0.164 0.788
Cr 0.343 0.836 0.278
Cr 0.836 0.343 0.278
O 0.000 0.000 0.182
O 0.027 0.478 0.663
O 0.161 0.681 0.391
O 0.169 0.169 0.395
O 0.327 0.823 0.897
O 0.336 0.336 0.892
O 0.471 0.471 0.655
O 0.478 0.027 0.663
O 0.522 0.522 0.148
O 0.526 0.956 0.147
O 0.675 0.675 0.388
O 0.681 0.161 0.391
O 0.823 0.327 0.897
O 0.830 0.830 0.895
O 0.956 0.526 0.147
O 0.990 0.990 0.688

Its space group is Cm, No. 8. For the total energy, the calculation gives -7.5386 eV per atom.

8.
Density functional theory data (PBE with a Hubbard U) for a geometry-optimized Li4Mn2V3Cr3O16 structure.

Cell lengths 5.891, 5.891, 9.660 Å; angles 93.00, 93.00, 60.65 degrees
Sites, in units of the cell vectors:
Li 0.000 0.000 0.000
Li 0.005 0.005 0.500
Li 0.350 0.350 0.901
Li 0.681 0.681 0.404
Mn 0.349 0.349 0.491
Mn 0.682 0.682 0.993
V 0.179 0.179 0.214
V 0.350 0.851 0.720
V 0.851 0.350 0.720
Cr 0.183 0.672 0.222
Cr 0.672 0.183 0.222
Cr 0.843 0.843 0.717
O 0.019 0.019 0.817
O 0.024 0.024 0.317
O 0.059 0.486 0.344
O 0.168 0.168 0.612
O 0.181 0.685 0.608
O 0.330 0.865 0.112
O 0.332 0.332 0.112
O 0.486 0.059 0.344
O 0.502 0.502 0.337
O 0.529 0.979 0.839
O 0.537 0.537 0.849
O 0.670 0.670 0.609
O 0.685 0.181 0.608
O 0.847 0.847 0.104
O 0.865 0.330 0.112
O 0.979 0.529 0.839

Its space group is Cm, No. 8. For the total energy, the calculation gives -7.1726 eV per atom.

Which formula does entry 6 have? Li4Ti2Mn3Cr3O16